A geometry-optimized Pr3Sm5Y3 structure, computed with PBE.

Results
Energy relative to the elements: 0.7637 eV/atom
Symmetry: P-62m (189)

abc: 9.7369 9.7369 5.5597
angles: 90.00 90.00 120.00
With the nearest neighbours (Å) after each atom.
Sites, in units of the cell vectors:
Pr  0.0000  0.6396  0.0000  4 Sm 3.12-3.16, 2 Y 3.25
Pr  0.3604  0.3604  0.0000  4 Sm 3.12-3.16, 2 Y 3.25
Pr  0.6396  0.0000  0.0000  4 Sm 3.12-3.16, 2 Y 3.25
Sm  0.0000  0.2685  0.0000  2 Pr 3.16, 2 Y 3.39
Sm  0.2685  0.0000  0.0000  2 Pr 3.16, 2 Y 3.39
Sm  0.3333  0.6667  0.0000  3 Pr 3.12
Sm  0.6667  0.3333  0.0000  3 Pr 3.12
Sm  0.7315  0.7315  0.0000  2 Pr 3.16, 2 Y 3.39
Y  0.0000  0.4677  0.5000  2 Pr 3.25, 2 Sm 3.39
Y  0.4677  0.0000  0.5000  2 Pr 3.25, 2 Sm 3.39
Y  0.5323  0.5323  0.5000  2 Pr 3.25, 2 Sm 3.39

---

A geometry-optimized Ti3HRh2 structure, computed with PBE.

Results
Symmetry: C2/c (15)

abc: 6.9984 6.9984 5.7632
angles: 106.78 106.78 36.66
With the nearest neighbours (Å) after each atom.
Sites, in units of the cell vectors:
Ti  0.0032  0.9968  0.7500  2 H 2.16-2.24, 2 Rh 2.40
Ti  0.3732  0.3747  0.3560  1 H 1.95
Ti  0.3747  0.3732  0.8560  1 H 1.95
Ti  0.6253  0.6268  0.1440  1 H 1.95
Ti  0.6268  0.6253  0.6440  1 H 1.95
Ti  0.9968  0.0032  0.2500  2 H 2.16-2.24, 2 Rh 2.40
H  0.4937  0.5063  0.7500  3 Ti 1.95-2.16
H  0.5063  0.4937  0.2500  3 Ti 1.95-2.16
Rh  0.1853  0.1846  0.4750  3 Ti 2.40-2.62
Rh  0.1846  0.1853  0.9750  3 Ti 2.40-2.62
Rh  0.8154  0.8147  0.0250  3 Ti 2.40-2.62
Rh  0.8147  0.8154  0.5250  3 Ti 2.40-2.62

---

A geometry-optimized NaTbTh structure, computed with PBE.

Results
Energy relative to the elements: 0.1658 eV/atom
Symmetry: P3m1 (156)

abc: 3.5282 3.5282 9.2895
angles: 90.00 90.00 120.00
With the nearest neighbours (Å) after each atom.
Sites, in units of the cell vectors:
Na  0.0000  0.0000  0.0000  6 Na 3.53, 3 Tb 3.79, 3 Th 3.86
Tb  0.3333  0.6667  0.6555  3 Th 3.47, 6 Tb 3.53, 3 Na 3.79
Th  0.6667  0.3333  0.3532  3 Tb 3.47, 6 Th 3.53, 3 Na 3.86

---

A geometry-optimized LaPt7 structure, computed with PBE.

Results
Energy relative to the elements: -0.3764 eV/atom
Symmetry: Fm-3m (225)

abc: 5.7970 5.7970 5.7970
angles: 60.00 60.00 60.00
With the nearest neighbours (Å) after each atom.
Sites, in units of the cell vectors:
La  0.0000  0.0000  0.0000  12 Pt 2.90
Pt  0.0000  0.0000  0.5000  2 La 2.90, 10 Pt 2.90
Pt  0.0000  0.5000  0.0000  2 La 2.90, 10 Pt 2.90
Pt  0.0000  0.5000  0.5000  2 La 2.90, 10 Pt 2.90
Pt  0.5000  0.0000  0.0000  2 La 2.90, 10 Pt 2.90
Pt  0.5000  0.0000  0.5000  2 La 2.90, 10 Pt 2.90
Pt  0.5000  0.5000  0.0000  2 La 2.90, 10 Pt 2.90
Pt  0.5000  0.5000  0.5000  12 Pt 2.90

---

In the order shown, the computed spin magnetization values come out to 0.00, 0.00, 0.00, 0.00 μB/f.u..
In the order shown, the computed energy values come out to -4.45, -7.46, -4.29, -6.28 eV/atom.